# 1
Material: BaRePdPb2
Method: DFT, PBE-GGA
State: relaxed

Cell: 5.297 5.297 5.803 Å, 90.00 90.00 90.00°
Space group P4/mmm (No. 123)
One atom of each set of equivalent atoms:
Ba 0.000 0.000 0.000 x1
Re 0.500 0.500 0.000 x1
Pd 0.000 0.000 0.500 x1
Pb 0.000 0.500 0.500 x2

## Properties
* D(E_F): 4.82 states/eV per cell
* calculated volume: 32.56 Å³/atom
* energy of formation: 90.5 kJ per mole of atoms


# 2
Material: Ba2Pd3RhPb4
Method: DFT, PBE-GGA
State: relaxed

Cell: 4.873 4.873 11.171 Å, 90.00 90.00 90.00°
Space group P-4m2 (No. 115)
One atom of each set of equivalent atoms:
Ba 0.000 0.500 0.242 x2
Pd 0.000 0.000 0.000 x1
Pd 0.000 0.500 0.634 x2
Rh 0.500 0.500 0.000 x1
Pb 0.000 0.000 0.500 x1
Pb 0.000 0.500 0.884 x2
Pb 0.500 0.500 0.500 x1

## Properties
* D(E_F): 7.41 states/eV per cell
* calculated volume: 26.53 Å³/atom
* energy of formation: -43.5 kJ per mole of atoms


# 3
Material: BaPdRhPb2
Method: DFT, PBE-GGA
State: relaxed

Cell: 4.938 4.938 11.196 Å, 90.00 90.00 90.00°
Space group I-4m2 (No. 119)
One atom of each set of equivalent atoms:
Ba 0.000 0.000 0.000 x2
Pd 0.000 0.500 0.250 x2
Rh 0.000 0.500 0.750 x2
Pb 0.000 0.000 0.355 x4

## Properties
* D(E_F): 7.12 states/eV per cell
* calculated volume: 27.30 Å³/atom
* energy of formation: -35.5 kJ per mole of atoms


# 4
Material: Ba2PdRh3Pb4
Method: DFT, PBE-GGA
State: relaxed

Cell: 4.896 4.896 10.801 Å, 90.00 90.00 90.00°
Space group P-4m2 (No. 115)
One atom of each set of equivalent atoms:
Ba 0.000 0.500 0.241 x2
Pd 0.500 0.500 0.000 x1
Rh 0.000 0.000 0.000 x1
Rh 0.000 0.500 0.626 x2
Pb 0.000 0.000 0.500 x1
Pb 0.000 0.500 0.879 x2
Pb 0.500 0.500 0.500 x1

## Properties
* D(E_F): 7.16 states/eV per cell
* calculated volume: 25.89 Å³/atom
* energy of formation: -33.4 kJ per mole of atoms


# 5
Material: BaPdRhPb3
Method: DFT, PBE-GGA
State: relaxed

Cell: 7.499 13.188 7.332 Å, 90.00 90.00 90.00°
Space group Cmcm (No. 63)
One atom of each set of equivalent atoms:
Ba 0.000 0.240 0.250 x4
Pd 0.000 0.022 0.750 x4
Rh 0.000 0.417 0.750 x4
Pb 0.000 0.223 0.750 x4
Pb 0.227 0.500 0.000 x8

## Properties
* D(E_F): 15.88 states/eV per cell
* calculated volume: 30.22 Å³/atom
* energy of formation: -18.2 kJ per mole of atoms


# 6
Material: Ba2SbPd6Pb
Method: DFT, PBE-GGA
State: relaxed

Cell: 12.944 5.821 8.983 Å, 90.00 132.10 90.00°
Space group C2/m (No. 12)
One atom of each set of equivalent atoms:
Ba 0.248 0.000 0.285 x4
Sb 0.000 0.500 0.000 x2
Pd 0.022 0.249 0.778 x8
Pd 0.250 0.000 0.897 x4
Pb 0.000 0.000 0.500 x2

## Properties
* formation energy from raw total energies: -0.530 eV per atom
* D(E_F): 8.12 states/eV per cell
* calculated volume: 25.11 Å³/atom